A plane-wave DFT calculation with GGA-PBE was carried out for KAgSnBr6 after structural relaxation.

Results
Calculated total energy = -0.1033 hartree per atom

a b c (Å): 7.2785 7.2785 14.1952
angles (deg): 90.00 90.00 120.00
Space group P-31c (No. 163)
Symmetry-distinct sites (fractional):
K1 0.0000 0.0000 0.0000 x2
Ag1 0.3333 0.6667 0.2500 x2
Sn1 0.3333 0.6667 0.7500 x2
Br1 0.0247 0.3816 0.6408 x12